La4BiSb2 after structural relaxation, computed with PBE.

Results
- energy relative to the elements, uncorrected (eV/f.u.) = -7.48

Structure (CIF):
```
data_La4BiSb2
_chemical_formula_sum 'La16 Bi4 Sb8'
_cell_length_a 9.767
_cell_length_b 9.767
_cell_length_c 9.748
_cell_angle_alpha 90.00
_cell_angle_beta 90.00
_cell_angle_gamma 90.00
_symmetry_space_group_name_H-M 'I -4 2 d'
_symmetry_Int_Tables_number 122
_symmetry_space_group_name_Hall 'I -4 2bw'
loop_
_atom_site_label
_atom_site_fract_x
_atom_site_fract_y
_atom_site_fract_z
La1 0.071 0.676 0.443
Bi1 0.000 0.000 0.500
Sb1 0.128 0.750 0.125
```

Dy2CdAg after structural relaxation, computed with PBE.

Results
- energy relative to the elements (eV/atom) = -0.3165

Structure (CIF):
```
data_Dy2CdAg
_chemical_formula_sum 'Dy2 Cd1 Ag1'
_cell_length_a 3.681
_cell_length_b 3.681
_cell_length_c 7.403
_cell_angle_alpha 90.00
_cell_angle_beta 90.00
_cell_angle_gamma 90.00
_symmetry_space_group_name_H-M 'P 4/m m m'
_symmetry_Int_Tables_number 123
_symmetry_space_group_name_Hall '-P 4 2'
loop_
_atom_site_label
_atom_site_fract_x
_atom_site_fract_y
_atom_site_fract_z
Dy1 0.000 0.000 0.242
Cd1 0.500 0.500 0.500
Ag1 0.500 0.500 0.000
```

V12Ni5N3 after structural relaxation, computed with PBE.

Results
- energy relative to the elements, uncorrected (eV/f.u.) = 10.02

Structure (CIF):
```
data_V12Ni5N3
_chemical_formula_sum 'V96 Ni40 N24'
_cell_length_a 13.098
_cell_length_b 13.098
_cell_length_c 13.098
_cell_angle_alpha 90.00
_cell_angle_beta 90.00
_cell_angle_gamma 90.00
_symmetry_space_group_name_H-M 'I a -3 d'
_symmetry_Int_Tables_number 230
_symmetry_space_group_name_Hall '-I 4bd 2c 3'
loop_
_atom_site_label
_atom_site_fract_x
_atom_site_fract_y
_atom_site_fract_z
V1 0.019 0.102 0.647
Ni1 0.000 0.000 0.000
Ni2 0.000 0.250 0.375
N1 0.000 0.250 0.125
```

BeTlP2 after structural relaxation, computed with PBE.

Results
- energy relative to the elements (eV/atom) = 0.4885

Structure (CIF):
```
data_BeTlP2
_chemical_formula_sum 'Be2 Tl2 P4'
_cell_length_a 2.754
_cell_length_b 5.981
_cell_length_c 9.718
_cell_angle_alpha 90.00
_cell_angle_beta 90.00
_cell_angle_gamma 90.00
_symmetry_space_group_name_H-M 'I m m m'
_symmetry_Int_Tables_number 71
_symmetry_space_group_name_Hall '-I 2 2'
loop_
_atom_site_label
_atom_site_fract_x
_atom_site_fract_y
_atom_site_fract_z
Be1 0.000 0.000 0.000
Tl1 0.000 0.000 0.500
P1 0.000 0.500 0.325
```

Fe2TeMo after structural relaxation, computed with PBE.

Results
- energy relative to the elements, uncorrected (eV/f.u.) = 1.54

Structure (CIF):
```
data_Fe2TeMo
_chemical_formula_sum 'Fe2 Te1 Mo1'
_cell_length_a 3.168
_cell_length_b 3.168
_cell_length_c 5.992
_cell_angle_alpha 90.00
_cell_angle_beta 90.00
_cell_angle_gamma 90.00
_symmetry_space_group_name_H-M 'P 4/m m m'
_symmetry_Int_Tables_number 123
_symmetry_space_group_name_Hall '-P 4 2'
loop_
_atom_site_label
_atom_site_fract_x
_atom_site_fract_y
_atom_site_fract_z
Fe1 0.000 0.000 0.235
Te1 0.500 0.500 0.500
Mo1 0.500 0.500 0.000
```

Ti3FeCl after structural relaxation, computed with PBE.

Results
- energy relative to the elements, uncorrected (eV/f.u.) = 1.60

Structure (CIF):
```
data_Ti3FeCl
_chemical_formula_sum 'Ti3 Fe1 Cl1'
_cell_length_a 4.559
_cell_length_b 4.559
_cell_length_c 4.559
_cell_angle_alpha 90.00
_cell_angle_beta 90.00
_cell_angle_gamma 90.00
_symmetry_space_group_name_H-M 'P m -3 m'
_symmetry_Int_Tables_number 221
_symmetry_space_group_name_Hall '-P 4 2 3'
loop_
_atom_site_label
_atom_site_fract_x
_atom_site_fract_y
_atom_site_fract_z
Ti1 0.000 0.000 0.500
Fe1 0.000 0.000 0.000
Cl1 0.500 0.500 0.500
```

CaErMgHg after structural relaxation, computed with PBE.

Results
- energy relative to the elements (eV/atom) = -0.3013

Structure (CIF):
```
data_CaErMgHg
_chemical_formula_sum 'Ca1 Er1 Mg1 Hg1'
_cell_length_a 3.806
_cell_length_b 3.806
_cell_length_c 7.548
_cell_angle_alpha 90.00
_cell_angle_beta 90.00
_cell_angle_gamma 90.00
_symmetry_space_group_name_H-M 'P 4 m m'
_symmetry_Int_Tables_number 99
loop_
_symmetry_equiv_pos_as_xyz
'x,y,z'
'-y,x,z'
'-x,-y,z'
'y,-x,z'
'-x,y,z'
'y,x,z'
'x,-y,z'
'-y,-x,z'
loop_
_atom_site_label
_atom_site_fract_x
_atom_site_fract_y
_atom_site_fract_z
Ca1 0.000 0.000 0.000
Er1 0.000 0.000 0.476
Mg1 0.500 0.500 0.725
Hg1 0.500 0.500 0.259
```

Rb8Na2Hg3 after structural relaxation, computed with PBE.

Results
- energy relative to the elements (eV/atom) = -0.0444

Structure (CIF):
```
data_Rb8Na2Hg3
_chemical_formula_sum 'Rb8 Na2 Hg3'
_cell_length_a 11.473
_cell_length_b 6.551
_cell_length_c 11.488
_cell_angle_alpha 90.00
_cell_angle_beta 110.72
_cell_angle_gamma 90.00
_symmetry_space_group_name_H-M 'P 1 2/m 1'
_symmetry_Int_Tables_number 10
loop_
_symmetry_equiv_pos_as_xyz
'x,y,z'
'-x,-y,-z'
'-x,y,-z'
'x,-y,z'
loop_
_atom_site_label
_atom_site_fract_x
_atom_site_fract_y
_atom_site_fract_z
Rb1 0.113 0.000 0.387
Rb2 0.136 0.500 0.865
Rb3 0.366 0.500 0.635
Rb4 0.383 0.000 0.118
Na1 0.242 0.500 0.256
Hg1 0.000 0.500 0.500
Hg2 0.248 0.000 0.748
```

Mg4In10Ga after structural relaxation, computed with PBE.

Results
- energy relative to the elements (eV/atom) = 0.0377

Structure (CIF):
```
data_Mg4In10Ga
_chemical_formula_sum 'Mg8 In20 Ga2'
_cell_length_a 10.269
_cell_length_b 10.269
_cell_length_c 7.729
_cell_angle_alpha 90.00
_cell_angle_beta 90.00
_cell_angle_gamma 90.00
_symmetry_space_group_name_H-M 'I 4/m'
_symmetry_Int_Tables_number 87
_symmetry_space_group_name_Hall '-I 4'
loop_
_atom_site_label
_atom_site_fract_x
_atom_site_fract_y
_atom_site_fract_z
Mg1 0.073 0.752 0.000
In1 0.000 0.500 0.250
In2 0.106 0.213 0.298
Ga1 0.000 0.000 0.500
```

BaMgBe after structural relaxation, computed with PBE.

Results
- energy relative to the elements (eV/atom) = 0.2467

Structure (CIF):
```
data_BaMgBe
_chemical_formula_sum 'Ba2 Mg2 Be2'
_cell_length_a 4.250
_cell_length_b 5.568
_cell_length_c 7.663
_cell_angle_alpha 90.00
_cell_angle_beta 105.71
_cell_angle_gamma 90.00
_symmetry_space_group_name_H-M 'P 1 2/m 1'
_symmetry_Int_Tables_number 10
loop_
_symmetry_equiv_pos_as_xyz
'x,y,z'
'-x,-y,-z'
'-x,y,-z'
'x,-y,z'
loop_
_atom_site_label
_atom_site_fract_x
_atom_site_fract_y
_atom_site_fract_z
Ba1 0.121 0.000 0.237
Mg1 0.328 0.500 0.658
Be1 0.255 0.500 0.000
```

Ca4YPt5 after structural relaxation, computed with PBE.

Results
- energy relative to the elements (eV/atom) = -0.9611

Structure (CIF):
```
data_Ca4YPt5
_chemical_formula_sum 'Ca4 Y1 Pt5'
_cell_length_a 3.506
_cell_length_b 3.506
_cell_length_c 17.426
_cell_angle_alpha 90.00
_cell_angle_beta 90.00
_cell_angle_gamma 90.00
_symmetry_space_group_name_H-M 'P 4/m m m'
_symmetry_Int_Tables_number 123
_symmetry_space_group_name_Hall '-P 4 2'
loop_
_atom_site_label
_atom_site_fract_x
_atom_site_fract_y
_atom_site_fract_z
Ca1 0.000 0.000 0.099
Ca2 0.000 0.000 0.297
Y1 0.000 0.000 0.500
Pt1 0.500 0.500 0.000
Pt2 0.500 0.500 0.200
Pt3 0.500 0.500 0.406
```

SmMoC2 after structural relaxation, computed with PBE.

Results
- energy relative to the elements (eV/atom) = 0.0232

Structure (CIF):
```
data_SmMoC2
_chemical_formula_sum 'Sm3 Mo3 C6'
_cell_length_a 3.2738
_cell_length_b 3.2738
_cell_length_c 17.0530
_cell_angle_alpha 90.00
_cell_angle_beta 90.00
_cell_angle_gamma 120.00
_symmetry_space_group_name_H-M 'R -3 m'
_symmetry_Int_Tables_number 166
_symmetry_space_group_name_Hall '-R 3 2"'
loop_
_atom_site_label
_atom_site_fract_x
_atom_site_fract_y
_atom_site_fract_z
Sm1 0.0000 0.0000 0.0000
Mo1 0.0000 0.0000 0.5000
C1 0.0000 0.0000 0.2354
```

Zr2BeHg after structural relaxation, computed with PBE.

Results
- energy relative to the elements (eV/atom) = 0.0191

Structure (CIF):
```
data_Zr2BeHg
_chemical_formula_sum 'Zr8 Be4 Hg4'
_cell_length_a 6.777
_cell_length_b 6.777
_cell_length_c 6.777
_cell_angle_alpha 90.00
_cell_angle_beta 90.00
_cell_angle_gamma 90.00
_symmetry_space_group_name_H-M 'F m -3 m'
_symmetry_Int_Tables_number 225
_symmetry_space_group_name_Hall '-F 4 2 3'
loop_
_atom_site_label
_atom_site_fract_x
_atom_site_fract_y
_atom_site_fract_z
Zr1 0.250 0.250 0.250
Be1 0.000 0.000 0.000
Hg1 0.000 0.000 0.500
```

Cs4CdAu2 after structural relaxation, computed with PBE.

Results
- energy relative to the elements (eV/atom) = -0.0324

Structure (CIF):
```
data_Cs4CdAu2
_chemical_formula_sum 'Cs8 Cd2 Au4'
_cell_length_a 7.187
_cell_length_b 7.187
_cell_length_c 17.704
_cell_angle_alpha 90.00
_cell_angle_beta 90.00
_cell_angle_gamma 90.00
_symmetry_space_group_name_H-M 'I 4/m m m'
_symmetry_Int_Tables_number 139
_symmetry_space_group_name_Hall '-I 4 2'
loop_
_atom_site_label
_atom_site_fract_x
_atom_site_fract_y
_atom_site_fract_z
Cs1 0.000 0.000 0.224
Cs2 0.000 0.500 0.000
Cd1 0.000 0.000 0.000
Au1 0.000 0.000 0.420
```

TiSbAs2 after structural relaxation, computed with PBE.

Results
- energy relative to the elements, uncorrected (eV/f.u.) = -0.95

Structure (CIF):
```
data_TiSbAs2
_chemical_formula_sum 'Ti3 Sb3 As6'
_cell_length_a 3.6312
_cell_length_b 3.6312
_cell_length_c 22.0544
_cell_angle_alpha 90.00
_cell_angle_beta 90.00
_cell_angle_gamma 120.00
_symmetry_space_group_name_H-M 'R 3 m'
_symmetry_Int_Tables_number 160
_symmetry_space_group_name_Hall 'R 3 -2"'
loop_
_atom_site_label
_atom_site_fract_x
_atom_site_fract_y
_atom_site_fract_z
Ti1 0.0000 0.0000 0.0000
Sb1 0.0000 0.0000 0.8380
As1 0.0000 0.0000 0.4032
As2 0.0000 0.0000 0.5945
```

TlRuSe2O8 after structural relaxation, computed with PBE.

Results
- energy relative to the elements, uncorrected (eV/f.u.) = -7.98

Structure (CIF):
```
data_TlRuSe2O8
_chemical_formula_sum 'Tl2 Ru2 Se4 O16'
_cell_length_a 8.623
_cell_length_b 5.533
_cell_length_c 8.357
_cell_angle_alpha 90.00
_cell_angle_beta 94.66
_cell_angle_gamma 90.00
_symmetry_space_group_name_H-M 'C 1 2/m 1'
_symmetry_Int_Tables_number 12
loop_
_symmetry_equiv_pos_as_xyz
'x,y,z'
'-x,-y,-z'
'-x,y,-z'
'x,-y,z'
'x+1/2,y+1/2,z'
'-x+1/2,-y+1/2,-z'
'-x+1/2,y+1/2,-z'
'x+1/2,-y+1/2,z'
loop_
_atom_site_label
_atom_site_fract_x
_atom_site_fract_y
_atom_site_fract_z
Tl1 0.000 0.000 0.000
Ru1 0.000 0.000 0.500
Se1 0.131 0.500 0.314
O1 0.008 0.253 0.325
O2 0.192 0.500 0.132
O3 0.237 0.000 0.522
```

Tl2AgP after structural relaxation, computed with PBE.

Results
- energy relative to the elements (eV/atom) = 0.0649

Structure (CIF):
```
data_Tl2AgP
_chemical_formula_sum 'Tl4 Ag2 P2'
_cell_length_a 7.571
_cell_length_b 4.349
_cell_length_c 7.148
_cell_angle_alpha 90.00
_cell_angle_beta 110.39
_cell_angle_gamma 90.00
_symmetry_space_group_name_H-M 'C 1 m 1'
_symmetry_Int_Tables_number 8
loop_
_symmetry_equiv_pos_as_xyz
'x,y,z'
'x,-y,z'
'x+1/2,y+1/2,z'
'x+1/2,-y+1/2,z'
loop_
_atom_site_label
_atom_site_fract_x
_atom_site_fract_y
_atom_site_fract_z
Tl1 0.000 0.000 0.000
Tl2 0.196 0.000 0.595
Ag1 0.432 0.000 0.302
P1 0.262 0.500 0.295
```

NdGa3PtRh after structural relaxation, computed with PBE.

Results
- energy relative to the elements (eV/atom) = -0.5341

Structure (CIF):
```
data_NdGa3PtRh
_chemical_formula_sum 'Nd4 Ga12 Pt4 Rh4'
_cell_length_a 7.874
_cell_length_b 11.057
_cell_length_c 5.924
_cell_angle_alpha 90.00
_cell_angle_beta 90.00
_cell_angle_gamma 90.00
_symmetry_space_group_name_H-M 'C m c m'
_symmetry_Int_Tables_number 63
_symmetry_space_group_name_Hall '-C 2c 2'
loop_
_atom_site_label
_atom_site_fract_x
_atom_site_fract_y
_atom_site_fract_z
Nd1 0.000 0.243 0.250
Ga1 0.000 0.262 0.750
Ga2 0.248 0.500 0.000
Pt1 0.000 0.046 0.750
Rh1 0.000 0.472 0.750
```

ScOs2RuC after structural relaxation, computed with PBE.

Results
- energy relative to the elements (eV/atom) = -0.1177

Structure (CIF):
```
data_ScOs2RuC
_chemical_formula_sum 'Sc1 Os2 Ru1 C1'
_cell_length_a 4.091
_cell_length_b 4.091
_cell_length_c 4.118
_cell_angle_alpha 90.00
_cell_angle_beta 90.00
_cell_angle_gamma 90.00
_symmetry_space_group_name_H-M 'P 4/m m m'
_symmetry_Int_Tables_number 123
_symmetry_space_group_name_Hall '-P 4 2'
loop_
_atom_site_label
_atom_site_fract_x
_atom_site_fract_y
_atom_site_fract_z
Sc1 0.000 0.000 0.000
Os1 0.000 0.500 0.500
Ru1 0.500 0.500 0.000
C1 0.500 0.500 0.500
```

LiAu2 after structural relaxation, computed with PBE.

Results
- energy relative to the elements (eV/atom) = -0.3828

Structure (CIF):
```
data_LiAu2
_chemical_formula_sum 'Li1 Au2'
_cell_length_a 4.4933
_cell_length_b 4.4933
_cell_length_c 2.8540
_cell_angle_alpha 90.00
_cell_angle_beta 90.00
_cell_angle_gamma 120.00
_symmetry_space_group_name_H-M 'P -3 m 1'
_symmetry_Int_Tables_number 164
_symmetry_space_group_name_Hall '-P 3 2"'
loop_
_atom_site_label
_atom_site_fract_x
_atom_site_fract_y
_atom_site_fract_z
Li1 0.0000 0.0000 0.0000
Au1 0.3333 0.6667 0.7259
```

| no. | calculated density (g/cm³) | density of states at the Fermi level (states/eV per atom) |
| --- | --- | --- |
| 1 | 7.20 | 1.29 |
| 2 | 9.03 | 0.79 |
| 3 | 5.60 | 1.29 |
| 4 | 5.71 | 0.39 |
| 5 | 9.26 | 1.08 |
| 6 | 4.12 | 1.43 |
| 7 | 6.57 | 0.65 |
| 8 | 2.74 | 0.83 |
| 9 | 5.36 | 0.44 |
| 10 | 3.25 | 0.47 |
| 11 | 9.49 | 0.24 |
| 12 | 8.51 | 0.49 |
| 13 | 8.37 | 0.04 |
| 14 | 3.77 | 1.02 |
| 15 | 6.32 | 0.53 |
| 16 | 4.94 | 0.30 |
| 17 | 8.24 | 0.30 |
| 18 | 8.39 | 0.45 |
| 19 | 12.97 | 0.86 |
| 20 | 13.34 | 0.33 |